Ca2MgGa | PBE-GGA | relaxed

a b c (Å): 8.5419 8.5419 6.8182
angles (deg): 90.00 90.00 90.00
Fractional coordinates of all 16 atoms:
Ca 0.2182 0.2500 0.1250
Ca 0.2500 0.7182 0.3750
Ca 0.2500 0.7818 0.8750
Ca 0.2818 0.2500 0.6250
Ca 0.7182 0.7500 0.6250
Ca 0.7500 0.2182 0.8750
Ca 0.7500 0.2818 0.3750
Ca 0.7818 0.7500 0.1250
Mg 0.0000 0.0000 0.5000
Mg 0.0000 0.5000 0.7500
Mg 0.5000 0.0000 0.2500
Mg 0.5000 0.5000 0.0000
Ga 0.0000 0.0000 0.0000
Ga 0.0000 0.5000 0.2500
Ga 0.5000 0.0000 0.7500
Ga 0.5000 0.5000 0.5000

VASP energy: -2.114 eV/atom
volume: 31.09 Å³/atom
calculated formation energy: 4.1 kJ/mol of atoms